No. 1
Mg2CuSb: relaxed, PBE.

a = 3.262 Å, b = 3.262 Å, c = 7.628 Å
α = 90.00°, β = 90.00°, γ = 90.00°
Positions (direct):
Mg  0.000  0.000  0.197
Mg  0.000  0.000  0.803
Cu  0.500  0.500  0.000
Sb  0.500  0.500  0.500

ρ	4785	kg/m3
SG	No. 123
energy relative to the elements, uncorrected	-0.081	eV/atom
total magnetic moment	0.00	μB/f.u.

No. 2
Cs3YW: relaxed, PBE.

a = 6.334 Å, b = 6.334 Å, c = 6.334 Å
α = 90.00°, β = 90.00°, γ = 90.00°
Positions (direct):
Cs  0.000  0.000  0.500
Cs  0.000  0.500  0.000
Cs  0.500  0.000  0.000
Y  0.500  0.500  0.500
W  0.000  0.000  0.000

ρ	4387	kg/m3
SG	No. 221
total magnetic moment	1.75	μB/f.u.
ΔH_f (0 K)	2.0581	eV per atom

No. 3
AsIr2Rh: relaxed, PBE.

a = 3.973 Å, b = 3.973 Å, c = 7.548 Å
α = 90.00°, β = 90.00°, γ = 90.00°
Positions (direct):
As  0.000  0.000  0.000
As  0.500  0.500  0.500
Ir  0.000  0.000  0.500
Ir  0.000  0.500  0.750
Ir  0.500  0.000  0.250
Ir  0.500  0.500  0.000
Rh  0.000  0.500  0.250
Rh  0.500  0.000  0.750

ρ	15672	kg/m3
SG	No. 119
total magnetic moment	0.00	μB/f.u.
ΔH_f (0 K)	0.1916	eV per atom

No. 4
Nd2Mg3In2: relaxed, PBE.

a = 11.473 Å, b = 4.813 Å, c = 7.160 Å
α = 90.00°, β = 103.04°, γ = 90.00°
Positions (direct):
Nd  0.115  0.000  0.353
Nd  0.385  0.500  0.647
Nd  0.615  0.500  0.353
Nd  0.885  0.000  0.647
Mg  0.000  0.500  0.000
Mg  0.197  0.000  0.879
Mg  0.303  0.500  0.121
Mg  0.500  0.000  0.000
Mg  0.697  0.500  0.879
Mg  0.803  0.000  0.121
In  0.106  0.500  0.669
In  0.394  0.000  0.331
In  0.606  0.000  0.669
In  0.894  0.500  0.331

ρ	5096	kg/m3
SG	No. 12
total magnetic moment	0.23	μB/f.u.
ΔH_f (0 K)	-0.2486	eV per atom